[1]
RuPbW2: relaxed, GGA-PBE.

abc: 2.951 2.951 8.040
angles: 90.00 90.00 90.00
Fractional coordinates of all 4 atoms:
Pb 0.500 0.500 0.250
Ru 0.500 0.500 0.750
W 0.000 0.000 0.970
W 0.000 0.000 0.530

- DFT formation energy (meV per atom) = 675
- space group = P4/mmm

---

[2]
RuPbW2: relaxed, GGA-PBE.

abc: 5.132 5.132 2.964
angles: 90.00 90.00 117.23
Fractional coordinates of all 4 atoms:
Pb 0.500 0.000 0.500
Ru 0.000 0.500 0.500
W 0.000 0.000 0.000
W 0.500 0.500 0.000

- DFT formation energy (meV per atom) = 839
- space group = Cmmm

---

[3]
RuPb2W: relaxed, GGA-PBE.

abc: 5.356 5.356 5.356
angles: 133.46 133.46 67.93
Fractional coordinates of all 4 atoms:
Pb 0.000 0.000 0.000
Pb 0.250 0.750 0.500
Ru 0.500 0.500 0.000
W 0.750 0.250 0.500

- DFT formation energy (meV per atom) = 1049
- space group = I-4m2

---

> Look up the DFT formation energy of the second one.

839 meV per atom

---

> Look up the DFT formation energy of the third one.

1049 meV per atom